This record from Alexandria via LeMat-Bulk describes Ba3HoGa2O8 after structural relaxation. The functional is GGA-PBE.

Summary:
**E_form (uncorrected)**: -2.450 eV/atom
**SG**: P-3m1 (164)

Lattice parameters (Å, degrees): 6.0035 6.0035 7.6378 90.00 90.00 120.00
Positions (direct):
Ba: 0.0000 0.0000 0.0000
Ba: 0.3333 0.6667 0.6549
Ba: 0.6667 0.3333 0.3451
Ho: 0.0000 0.0000 0.5000
Ga: 0.3333 0.6667 0.2203
Ga: 0.6667 0.3333 0.7797
O: 0.1690 0.3381 0.3201
O: 0.1690 0.8310 0.3201
O: 0.3333 0.6667 0.9822
O: 0.3381 0.1690 0.6799
O: 0.6619 0.8310 0.3201
O: 0.6667 0.3333 0.0178
O: 0.8310 0.1690 0.6799
O: 0.8310 0.6619 0.6799